Record 1
Entry from the Alexandria database: TbMnMoO6 after structural relaxation (PBE with a Hubbard U).

Lattice parameters (Å, degrees): 4.445 5.419 5.419 120.00 90.00 90.00
Each line ends with the local moment (μB).
Fractional positions:
1 O 0.743 0.291 0.981  -0.09
2 O 0.743 0.690 0.709  -0.09
3 O 0.257 0.291 0.310  -0.09
4 O 0.257 0.690 0.981  -0.09
5 O 0.257 0.019 0.709  -0.09
6 O 0.743 0.019 0.310  -0.09
7 Mo 0.500 0.000 0.000  0.20
8 Mn 0.000 0.333 0.667  4.24
9 Tb 0.500 0.667 0.333  0.01

Computed properties:
The calculation puts the total energy at -7.371 eV per atom.

Record 2
Entry from the Alexandria database: RbTeMoO6 after structural relaxation (PBE with a Hubbard U).

Lattice parameters (Å, degrees): 5.386 5.386 6.326 90.03 89.96 60.00
Each line ends with the local moment (μB).
Fractional positions:
1 O 0.592 0.403 0.678  0.00
2 O 0.005 0.402 0.322  0.00
3 O 0.403 0.592 0.322  0.00
4 O 0.402 0.005 0.678  0.00
5 O 0.005 0.593 0.678  0.00
6 O 0.593 0.005 0.322  0.00
7 Mo 0.667 0.667 0.500  0.94
8 Rb 0.000 0.000 0.000  0.00
9 Te 0.333 0.333 0.500  0.04

Computed properties:
The calculation puts the total energy at -6.014 eV per atom.